No. 1
The following is a DFT calculation (PBE) of a relaxed structure of PrScHg.

Structure (POSCAR):
```
PrScHg
1.0
-1.7791 1.7791 6.3825
1.7791 -1.7791 6.3825
1.7791 1.7791 -6.3825
Pr Sc Hg
1 1 1
Cartesian
0.0000 0.0000 0.0000
0.0000 0.0000 3.9559
0.0000 0.0000 8.7131
```

Properties
For the energy above the most stable polymorph in this dataset, the calculation gives 58 meV per atom.

***

No. 2
The following is a DFT calculation (PBE) of a relaxed structure of Pr2ScHg4.

Structure (POSCAR):
```
Pr2ScHg4
1.0
-2.7038 2.7038 7.8278
2.7038 -2.7038 7.8278
2.7038 2.7038 -7.8278
Pr Sc Hg
2 1 4
Cartesian
0.0000 0.0000 1.8003
0.0000 0.0000 13.8553
0.0000 0.0000 7.8278
2.7038 0.0000 0.0000
0.0000 0.0000 4.9583
0.0000 2.7038 0.0000
0.0000 0.0000 10.6973
```

Properties
For the energy above the most stable polymorph in this dataset, the calculation gives 246 meV per atom.

***

Which formula does entry 1 have?
PrScHg